1.
This record from Alexandria via LeMat-Bulk describes a relaxed Te3Ir crystal. The functional is PBE.

For the total energy, the calculation gives -72.44 eV for the cell shown. The value obtained for the uncorrected formation energy is 0.0442 eV per atom. Its total magnetic moment is 0.0 μB/cell.

The structure belongs to space group Cmcm (No. 63); the cell edges are 8.590, 14.857 and 3.729 Å and the angles 90.00°, 90.00° and 90.00°. Symmetry generates all atoms from Te at (0.000, 0.204, 0.250), Te at (0.193, 0.398, 0.250) and Ir at (0.000, 0.333, 0.750).

***

2.
This record from Alexandria via LeMat-Bulk describes a relaxed TaAg2Cl crystal. The functional is PBE.

For the total energy, the calculation gives -37.49 eV for the cell shown. The value obtained for the uncorrected formation energy is 0.1638 eV per atom. As for the relative energy among the computed polymorphs: 128.1 meV per atom. Its total magnetic moment is 0.0 μB/cell.

The structure belongs to space group Cmmm (No. 65); the cell edges are 3.322, 4.946 and 8.953 Å and the angles 90.00°, 90.00° and 90.00°. Symmetry generates all atoms from Ta at (0.000, 0.000, 0.000), Ag at (0.000, 0.500, 0.259) and Cl at (0.000, 0.000, 0.500).

***

3.
This record from Alexandria via LeMat-Bulk describes a relaxed ZrRh4W crystal. The functional is PBE.

The energy relative to the elements comes out at -63 kJ/mol of formula units. For the total energy, the calculation gives -206.26 eV for the cell shown. Its total magnetic moment is 0.0 μB/cell.

The structure belongs to space group F-43m (No. 216); the cell edges are 7.266, 7.266 and 7.266 Å and the angles 90.00°, 90.00° and 90.00°. Symmetry generates all atoms from Zr at (0.000, 0.000, 0.000), Rh at (0.125, 0.125, 0.625) and W at (0.250, 0.250, 0.250).

***

4.
This record from Alexandria via LeMat-Bulk describes a relaxed TiZn2Ag crystal. The functional is PBE.

The energy relative to the elements comes out at -11 kJ/mol of formula units. For the total energy, the calculation gives -13.41 eV for the cell shown. Its total magnetic moment is 0.8 μB/cell.

The structure belongs to space group P4/mmm (No. 123); the cell edges are 4.069, 4.069 and 3.905 Å and the angles 90.00°, 90.00° and 90.00°. Symmetry generates all atoms from Ti at (0.000, 0.000, 0.000), Zn at (0.000, 0.500, 0.500) and Ag at (0.500, 0.500, 0.000).

***

5.
This record from Alexandria via LeMat-Bulk describes a relaxed SrReN3 crystal. The functional is PBE.

For the total energy, the calculation gives -159.80 eV for the cell shown. The value obtained for the uncorrected formation energy is -0.1690 eV per atom. Its total magnetic moment is 0.0 μB/cell.

The structure belongs to space group I-4m2 (No. 119); the cell edges are 3.991, 3.991 and 20.038 Å and the angles 90.00°, 90.00° and 90.00°. Symmetry generates all atoms from Sr at (0.000, 0.000, 0.092), Re at (0.000, 0.000, 0.500), Re at (0.000, 0.500, 0.250), N at (0.000, 0.158, 0.316) and N at (0.000, 0.500, 0.000).

***

6.
This record from Alexandria via LeMat-Bulk describes a relaxed Li2CuW crystal. The functional is PBE.

The energy relative to the elements comes out at 345 kJ/mol of formula units. For the total energy, the calculation gives -69.19 eV for the cell shown. As for the relative energy among the computed polymorphs: 632.7 meV per atom. Its total magnetic moment is 2.5 μB/cell.

The structure belongs to space group Fm-3m (No. 225); the cell edges are 5.882, 5.882 and 5.882 Å and the angles 90.00°, 90.00° and 90.00°. Symmetry generates all atoms from Li at (0.250, 0.250, 0.250), Cu at (0.000, 0.000, 0.000) and W at (0.000, 0.000, 0.500).

***

7.
This record from Alexandria via LeMat-Bulk describes a relaxed Ac2BeGa3Pt4 crystal. The functional is PBE.

The energy relative to the elements comes out at -854 kJ/mol of formula units. For the total energy, the calculation gives -54.04 eV for the cell shown. Its total magnetic moment is 0.0 μB/cell.

The structure belongs to space group P-4m2 (No. 115); the cell edges are 4.423, 4.423 and 10.275 Å and the angles 90.00°, 90.00° and 90.00°. Symmetry generates all atoms from Ac at (0.000, 0.500, 0.244), Be at (0.500, 0.500, 0.000), Ga at (0.000, 0.000, 0.000), Ga at (0.000, 0.500, 0.628), Pt at (0.000, 0.000, 0.500), Pt at (0.000, 0.500, 0.882) and Pt at (0.500, 0.500, 0.500).

***

8.
This record from Alexandria via LeMat-Bulk describes a relaxed Cs2SmCuBr6 crystal. The functional is PBE.

For the total energy, the calculation gives -71.45 eV for the cell shown. The value obtained for the uncorrected formation energy is -1.5165 eV per atom. Its total magnetic moment is 0.0 μB/cell.

The structure belongs to space group I4/mmm (No. 139); the cell edges are 8.377, 8.377 and 10.482 Å and the angles 90.00°, 90.00° and 90.00°. Symmetry generates all atoms from Cs at (0.000, 0.500, 0.250), Sm at (0.000, 0.000, 0.000), Cu at (0.000, 0.000, 0.500), Br at (0.000, 0.000, 0.275) and Br at (0.241, 0.241, 0.000).

***

9.
This record from Alexandria via LeMat-Bulk describes a relaxed Zn2CoMo crystal. The functional is PBE.

The energy relative to the elements comes out at 63 kJ/mol of formula units. For the total energy, the calculation gives -39.66 eV for the cell shown. As for the relative energy among the computed polymorphs: 166.4 meV per atom. Its total magnetic moment is 4.1 μB/cell.

The structure belongs to space group Cmmm (No. 65); the cell edges are 5.308, 8.226 and 2.557 Å and the angles 90.00°, 90.00° and 90.00°. Symmetry generates all atoms from Zn at (0.250, 0.250, 0.000), Co at (0.000, 0.000, 0.500) and Mo at (0.000, 0.500, 0.500).

***

10.
This record from Alexandria via LeMat-Bulk describes a relaxed Hg2RhCl crystal. The functional is PBE.

For the total energy, the calculation gives -8.95 eV for the cell shown. The value obtained for the uncorrected formation energy is 0.2134 eV per atom. As for the relative energy among the computed polymorphs: 209.3 meV per atom. Its total magnetic moment is 0.0 μB/cell.

The structure belongs to space group P4/mmm (No. 123); the cell edges are 4.973, 4.973 and 3.213 Å and the angles 90.00°, 90.00° and 90.00°. Symmetry generates all atoms from Hg at (0.000, 0.500, 0.000), Rh at (0.000, 0.000, 0.500) and Cl at (0.500, 0.500, 0.500).

***

11.
This record from Alexandria via LeMat-Bulk describes a relaxed PuHfZr crystal. The functional is PBE.

The energy relative to the elements comes out at 121 kJ/mol of formula units. For the total energy, the calculation gives -189.48 eV for the cell shown. As for the relative energy among the computed polymorphs: 349.0 meV per atom. Its total magnetic moment is 36.3 μB/cell.

The structure belongs to space group R-3m (No. 166, hexagonal axes); the cell edges are 4.9907, 4.9907 and 22.0714 Å and the angles 90.00°, 90.00° and 120.00°. Symmetry generates all atoms from Pu at (0.0000, 0.0000, 0.2074), Hf at (0.0000, 0.0000, 0.3476) and Zr at (0.0000, 0.0000, 0.0627).

***

12.
This record from Alexandria via LeMat-Bulk describes a relaxed Ca2Nd crystal. The functional is PBE.

The energy relative to the elements comes out at 82 kJ/mol of formula units. For the total energy, the calculation gives -63.36 eV for the cell shown. As for the relative energy among the computed polymorphs: 206.2 meV per atom. Its total magnetic moment is 10.8 μB/cell.

The structure belongs to space group Fd-3m (No. 227, origin choice 2); the cell edges are 9.957, 9.957 and 9.957 Å and the angles 90.00°, 90.00° and 90.00°. Symmetry generates all atoms from Ca at (0.000, 0.000, 0.000) and Nd at (0.125, 0.125, 0.625).